Model i:
Entry from the Alexandria database: crystalline YZrSc4 at its relaxed geometry (GGA-PBE).

Cell lengths 6.105, 6.105, 6.105 Å; angles 60.00, 60.00, 60.00 degrees
Positions (direct):
Y: 0.000 0.000 0.000
Zr: 0.750 0.750 0.750
Sc: 0.375 0.375 0.375
Sc: 0.375 0.375 0.875
Sc: 0.375 0.875 0.375
Sc: 0.875 0.375 0.375

The value obtained for the density of states at the Fermi level is 8.88 states/eV/f.u. The spin magnetization comes out at 1.11 μB per atom.


Model ii:
Entry from the Alexandria database: crystalline YZrSc4 at its relaxed geometry (GGA-PBE).

Cell lengths 7.824, 7.824, 6.013 Å; angles 100.11, 100.11, 116.34 degrees
Positions (direct):
Y: 0.086 0.914 0.750
Y: 0.914 0.086 0.250
Zr: 0.497 0.503 0.250
Zr: 0.503 0.497 0.750
Sc: 0.081 0.343 0.875
Sc: 0.217 0.595 0.467
Sc: 0.343 0.081 0.375
Sc: 0.405 0.783 0.033
Sc: 0.595 0.217 0.967
Sc: 0.657 0.919 0.625
Sc: 0.783 0.405 0.533
Sc: 0.919 0.657 0.125

The value obtained for the density of states at the Fermi level is 10.90 states/eV/f.u. The spin magnetization comes out at 0.00 μB per atom.


Model iii:
Entry from the Alexandria database: crystalline YZrSc4 at its relaxed geometry (GGA-PBE).

Cell lengths 5.195, 8.931, 8.931 Å; angles 21.55, 90.00, 90.00 degrees
Positions (direct):
Y: 0.000 0.000 0.000
Zr: 0.500 0.778 0.778
Sc: 0.000 0.329 0.329
Sc: 0.000 0.671 0.671
Sc: 0.500 0.117 0.117
Sc: 0.500 0.436 0.436

The value obtained for the density of states at the Fermi level is 10.77 states/eV/f.u. The spin magnetization comes out at 0.00 μB per atom.


Most stable: model iii (next structure +0.108 eV/atom)


Model i:
Entry from the Alexandria database: crystalline Sc4Zn3 at its relaxed geometry (GGA-PBE).

Cell lengths 5.310, 5.310, 5.663 Å; angles 90.00, 90.00, 120.00 degrees
Positions (direct):
Sc: 0.000 0.000 0.250
Sc: 0.000 0.000 0.750
Sc: 0.333 0.667 0.000
Sc: 0.667 0.333 0.000
Zn: 0.000 0.500 0.500
Zn: 0.500 0.000 0.500
Zn: 0.500 0.500 0.500

The value obtained for the density of states at the Fermi level is 10.34 states/eV/f.u. The spin magnetization comes out at 0.00 μB per atom.


Model ii:
Entry from the Alexandria database: crystalline Sc4Zn3 at its relaxed geometry (GGA-PBE).

Cell lengths 14.164, 14.164, 14.164 Å; angles 167.19, 167.19, 18.16 degrees
Positions (direct):
Sc: 0.067 0.067 0.000
Sc: 0.346 0.346 0.000
Sc: 0.654 0.654 0.000
Sc: 0.933 0.933 0.000
Zn: 0.223 0.223 0.000
Zn: 0.500 0.500 0.000
Zn: 0.777 0.777 0.000

The value obtained for the density of states at the Fermi level is 9.19 states/eV/f.u. The spin magnetization comes out at 0.18 μB per atom.


Most stable: model ii (next structure +0.023 eV/atom)


Model i:
Entry from the Alexandria database: crystalline Sc4Zn5 at its relaxed geometry (GGA-PBE).

Cell lengths 8.219, 8.219, 5.769 Å; angles 90.00, 90.00, 120.00 degrees
Positions (direct):
Sc: 0.000 0.000 0.000
Sc: 0.000 0.000 0.500
Sc: 0.000 0.360 0.250
Sc: 0.000 0.640 0.750
Sc: 0.360 0.000 0.250
Sc: 0.360 0.360 0.750
Sc: 0.640 0.000 0.750
Sc: 0.640 0.640 0.250
Zn: 0.000 0.309 0.750
Zn: 0.000 0.691 0.250
Zn: 0.309 0.000 0.750
Zn: 0.309 0.309 0.250
Zn: 0.333 0.667 0.000
Zn: 0.333 0.667 0.500
Zn: 0.667 0.333 0.000
Zn: 0.667 0.333 0.500
Zn: 0.691 0.000 0.250
Zn: 0.691 0.691 0.750

The value obtained for the density of states at the Fermi level is 7.72 states/eV/f.u. The spin magnetization comes out at 0.00 μB per atom.


Model ii:
Entry from the Alexandria database: crystalline Sc4Zn5 at its relaxed geometry (GGA-PBE).

Cell lengths 6.558, 6.558, 6.558 Å; angles 96.53, 96.53, 140.59 degrees
Positions (direct):
Sc: 0.000 0.314 0.314
Sc: 0.000 0.686 0.686
Sc: 0.314 0.000 0.314
Sc: 0.686 0.000 0.686
Zn: 0.000 0.000 0.000
Zn: 0.341 0.341 0.682
Zn: 0.341 0.659 0.000
Zn: 0.659 0.341 0.000
Zn: 0.659 0.659 0.318

The value obtained for the density of states at the Fermi level is 6.93 states/eV/f.u. The spin magnetization comes out at 0.00 μB per atom.


Most stable: model i (next structure +0.026 eV/atom)


Model i:
Entry from the Alexandria database: crystalline Sc3Zn4 at its relaxed geometry (GGA-PBE).

Cell lengths 5.896, 5.896, 4.854 Å; angles 90.00, 90.00, 120.00 degrees
Positions (direct):
Sc: 0.000 0.500 0.000
Sc: 0.500 0.000 0.000
Sc: 0.500 0.500 0.000
Zn: 0.000 0.000 0.248
Zn: 0.000 0.000 0.752
Zn: 0.333 0.667 0.500
Zn: 0.667 0.333 0.500

The value obtained for the density of states at the Fermi level is 4.17 states/eV/f.u. The spin magnetization comes out at 0.00 μB per atom.


Model ii:
Entry from the Alexandria database: crystalline Sc3Zn4 at its relaxed geometry (GGA-PBE).

Cell lengths 8.026, 8.026, 8.026 Å; angles 33.77, 33.77, 33.77 degrees
Positions (direct):
Sc: 0.000 0.000 0.000
Sc: 0.249 0.249 0.249
Sc: 0.751 0.751 0.751
Zn: 0.125 0.125 0.125
Zn: 0.381 0.381 0.381
Zn: 0.619 0.619 0.619
Zn: 0.875 0.875 0.875

The value obtained for the density of states at the Fermi level is 8.17 states/eV/f.u. The spin magnetization comes out at 0.00 μB per atom.


Most stable: model ii (next structure +0.174 eV/atom)


Model i:
Entry from the Alexandria database: crystalline ScZn6 at its relaxed geometry (GGA-PBE).

Cell lengths 5.832, 5.832, 5.832 Å; angles 109.47, 109.47, 109.47 degrees
Positions (direct):
Sc: 0.000 0.000 0.000
Zn: 0.250 0.500 0.750
Zn: 0.250 0.750 0.500
Zn: 0.500 0.250 0.750
Zn: 0.500 0.750 0.250
Zn: 0.750 0.250 0.500
Zn: 0.750 0.500 0.250

The value obtained for the density of states at the Fermi level is 4.98 states/eV/f.u. The spin magnetization comes out at 0.00 μB per atom.


Model ii:
Entry from the Alexandria database: crystalline ScZn6 at its relaxed geometry (GGA-PBE).

Cell lengths 8.156, 5.238, 10.413 Å; angles 90.00, 90.00, 90.00 degrees
Positions (direct):
Sc: 0.240 0.250 0.062
Sc: 0.260 0.750 0.562
Sc: 0.740 0.250 0.438
Sc: 0.760 0.750 0.938
Zn: 0.061 0.750 0.086
Zn: 0.064 0.014 0.308
Zn: 0.064 0.486 0.308
Zn: 0.099 0.250 0.521
Zn: 0.138 0.750 0.852
Zn: 0.192 0.250 0.757
Zn: 0.308 0.750 0.257
Zn: 0.362 0.250 0.352
Zn: 0.401 0.750 0.021
Zn: 0.436 0.514 0.808
Zn: 0.436 0.986 0.808
Zn: 0.439 0.250 0.586
Zn: 0.561 0.750 0.414
Zn: 0.564 0.014 0.192
Zn: 0.564 0.486 0.192
Zn: 0.599 0.250 0.979
Zn: 0.638 0.750 0.648
Zn: 0.692 0.250 0.743
Zn: 0.808 0.750 0.243
Zn: 0.862 0.250 0.148
Zn: 0.901 0.750 0.479
Zn: 0.936 0.514 0.692
Zn: 0.936 0.986 0.692
Zn: 0.939 0.250 0.914

The value obtained for the density of states at the Fermi level is 2.97 states/eV/f.u. The spin magnetization comes out at 0.00 μB per atom.


Model iii:
Entry from the Alexandria database: crystalline ScZn6 at its relaxed geometry (GGA-PBE).

Cell lengths 12.011, 12.011, 12.011 Å; angles 110.05, 109.66, 108.71 degrees
Positions (direct):
Sc: 0.005 0.197 0.808
Sc: 0.202 0.313 0.515
Sc: 0.202 0.687 0.888
Sc: 0.307 0.008 0.702
Sc: 0.307 0.605 0.298
Sc: 0.389 0.197 0.192
Sc: 0.611 0.803 0.808
Sc: 0.693 0.395 0.702
Sc: 0.693 0.992 0.298
Sc: 0.798 0.313 0.112
Sc: 0.798 0.687 0.485
Sc: 0.995 0.803 0.192
Zn: 0.000 0.192 0.192
Zn: 0.000 0.808 0.808
Zn: 0.034 0.361 0.081
Zn: 0.034 0.953 0.673
Zn: 0.040 0.586 0.227
Zn: 0.040 0.813 0.454
Zn: 0.088 0.088 0.000
Zn: 0.095 0.443 0.349
Zn: 0.095 0.746 0.651
Zn: 0.096 0.500 0.596
Zn: 0.155 0.097 0.252
Zn: 0.155 0.903 0.058
Zn: 0.174 0.175 0.677
Zn: 0.174 0.497 0.000
Zn: 0.181 0.410 0.772
Zn: 0.185 0.042 0.462
Zn: 0.185 0.723 0.143
Zn: 0.193 0.693 0.500
Zn: 0.240 0.144 0.905
Zn: 0.240 0.335 0.095
Zn: 0.254 0.848 0.405
Zn: 0.279 0.361 0.327
Zn: 0.279 0.953 0.919
Zn: 0.310 0.000 0.310
Zn: 0.359 0.586 0.546
Zn: 0.359 0.813 0.773
Zn: 0.362 0.590 0.772
Zn: 0.407 0.262 0.668
Zn: 0.407 0.738 0.145
Zn: 0.414 0.324 0.910
Zn: 0.414 0.504 0.090
Zn: 0.420 0.277 0.462
Zn: 0.420 0.958 0.143
Zn: 0.443 0.848 0.595
Zn: 0.497 0.175 0.000
Zn: 0.497 0.497 0.323
Zn: 0.500 0.096 0.596
Zn: 0.500 0.904 0.404
Zn: 0.503 0.503 0.677
Zn: 0.503 0.825 0.000
Zn: 0.557 0.152 0.405
Zn: 0.580 0.042 0.857
Zn: 0.580 0.723 0.538
Zn: 0.586 0.496 0.910
Zn: 0.586 0.676 0.090
Zn: 0.593 0.262 0.855
Zn: 0.593 0.738 0.332
Zn: 0.638 0.410 0.228
Zn: 0.641 0.187 0.227
Zn: 0.641 0.414 0.454
Zn: 0.690 0.000 0.690
Zn: 0.721 0.047 0.081
Zn: 0.721 0.639 0.673
Zn: 0.746 0.152 0.595
Zn: 0.760 0.665 0.905
Zn: 0.760 0.856 0.095
Zn: 0.807 0.307 0.500
Zn: 0.815 0.277 0.857
Zn: 0.815 0.958 0.538
Zn: 0.819 0.590 0.228
Zn: 0.826 0.503 0.000
Zn: 0.826 0.825 0.323
Zn: 0.845 0.097 0.942
Zn: 0.845 0.903 0.748
Zn: 0.904 0.500 0.404
Zn: 0.905 0.254 0.349
Zn: 0.905 0.557 0.651
Zn: 0.912 0.912 0.000
Zn: 0.960 0.187 0.546
Zn: 0.960 0.414 0.773
Zn: 0.966 0.047 0.327
Zn: 0.966 0.639 0.919

The value obtained for the density of states at the Fermi level is 1.68 states/eV/f.u. The spin magnetization comes out at 0.00 μB per atom.


Most stable: model iii (next structure +0.057 eV/atom)


Model i:
Entry from the Alexandria database: crystalline Sc3Zn2 at its relaxed geometry (GGA-PBE).

Cell lengths 3.329, 3.329, 18.103 Å; angles 90.00, 90.00, 90.00 degrees
Positions (direct):
Sc: 0.000 0.000 0.000
Sc: 0.000 0.000 0.187
Sc: 0.000 0.000 0.373
Sc: 0.000 0.000 0.627
Sc: 0.000 0.000 0.813
Sc: 0.500 0.500 0.500
Zn: 0.500 0.500 0.094
Zn: 0.500 0.500 0.280
Zn: 0.500 0.500 0.720
Zn: 0.500 0.500 0.906

The value obtained for the density of states at the Fermi level is 5.57 states/eV/f.u. The spin magnetization comes out at 0.00 μB per atom.


Model ii:
Entry from the Alexandria database: crystalline Sc3Zn2 at its relaxed geometry (GGA-PBE).

Cell lengths 11.520, 11.520, 11.520 Å; angles 16.42, 16.42, 16.42 degrees
Positions (direct):
Sc: 0.000 0.000 0.000
Sc: 0.206 0.206 0.206
Sc: 0.794 0.794 0.794
Zn: 0.397 0.397 0.397
Zn: 0.603 0.603 0.603

The value obtained for the density of states at the Fermi level is 4.83 states/eV/f.u. The spin magnetization comes out at 0.17 μB per atom.


Most stable: model i (next structure +0.170 eV/atom)